Record 1
The following is a DFT calculation (meta-GGA SCAN) of a crystal of Ta3W relaxed with PBEsol.

Summary:
calculated formation energy = -0.0487 eV per atom
size of the total moment = 0.00 μB per formula unit

a = 6.4792 Å, b = 9.1606 Å, c = 4.5928 Å
α = 90.00°, β = 90.00°, γ = 90.00°
Space group Cmcm (No. 63)
Unique sites:
Ta: 0.0000 0.1219 0.2500 x4
Ta: 0.2448 0.3749 0.2500 x8
W: 0.0000 0.3736 0.7500 x4


Record 2
The following is a DFT calculation (meta-GGA SCAN) of a crystal of LiHS relaxed with PBEsol.

Summary:
size of the total moment = 0.00 μB per formula unit
total energy = -6.03 eV/atom

a = 12.2048 Å, b = 3.8652 Å, c = 7.7238 Å
α = 90.00°, β = 90.00°, γ = 90.00°
Space group Pcca (No. 54)
Unique sites:
Li: 0.1250 0.9999 0.0007 x8
H: 0.0000 0.3854 0.2500 x4
H: 0.2500 0.5000 0.3101 x4
S: 0.0000 0.0340 0.2500 x4
S: 0.2500 0.5000 0.4859 x4


Record 3
The following is a DFT calculation (meta-GGA SCAN) of a crystal of InPH3 relaxed with PBEsol.

Summary:
energy above the most stable polymorph in this dataset = 467 meV per atom
size of the total moment = 2.09 μB per formula unit

a = 3.8235 Å, b = 3.8235 Å, c = 3.8235 Å
α = 90.00°, β = 90.00°, γ = 90.00°
Space group Pm-3m (No. 221)
Unique sites:
In: 0.0000 0.0000 0.0000 x1
P: 0.5000 0.5000 0.5000 x1
H: 0.0000 0.0000 0.5000 x3


Record 4
The following is a DFT calculation (meta-GGA SCAN) of a crystal of MgZn2Ni relaxed with PBEsol.

Summary:
calculated formation energy = -0.1394 eV per atom
size of the total moment = 0.04 μB per formula unit

a = 2.9433 Å, b = 3.1601 Å, c = 5.9943 Å
α = 90.00°, β = 90.00°, γ = 90.00°
Space group Pmm2 (No. 25)
Unique sites:
Mg: 0.0000 0.0000 0.0000 x1
Zn: 0.0000 0.0000 0.4538 x1
Zn: 0.5000 0.5000 0.6984 x1
Ni: 0.5000 0.5000 0.2553 x1


Q: What is the formula in the first record?
A: Ta3W